Record 1
This record from Alexandria via LeMat-Bulk describes crystalline Cu2PtSeF at its relaxed geometry. The functional is PBE-GGA.

## Properties
The total energy is -18.2 eV per cell. The calculation puts the density at 7.6 g/cm³.

a = 4.841 Å, b = 3.922 Å, c = 4.841 Å
α = 90.00°, β = 90.00°, γ = 90.00°
Fractional positions:
Cu: 0.000 0.000 0.500
Cu: 0.500 0.000 0.000
Se: 0.500 0.500 0.500
Pt: 0.000 0.000 0.000
F: 0.000 0.500 0.000

Record 2
This record from Alexandria via LeMat-Bulk describes crystalline CaGe3S at its relaxed geometry. The functional is PBE-GGA.

## Properties
The calculation puts the relative energy among the computed polymorphs at 0 meV/atom. The calculation puts the density at 3.9 g/cm³.

a = 4.990 Å, b = 4.990 Å, c = 4.990 Å
α = 90.00°, β = 90.00°, γ = 90.00°
Fractional positions:
S: 0.000 0.000 0.000
Ge: 0.000 0.500 0.000
Ge: 0.000 0.000 0.500
Ge: 0.500 0.000 0.000
Ca: 0.500 0.500 0.500

Record 3
This record from Alexandria via LeMat-Bulk describes crystalline AlHg2Br3 at its relaxed geometry. The functional is PBE-GGA.

## Properties
The total energy is -25.9 eV per cell. The calculation puts the density at 3.6 g/cm³.

a = 7.032 Å, b = 7.043 Å, c = 14.316 Å
α = 89.81°, β = 90.00°, γ = 119.95°
Fractional positions:
Al: 0.001 0.000 0.250
Al: 0.999 0.000 0.750
Hg: 0.333 0.664 0.500
Hg: 0.331 0.664 0.000
Hg: 0.669 0.336 0.000
Hg: 0.667 0.336 0.500
Br: 0.680 0.000 0.750
Br: 0.320 0.000 0.250
Br: 0.999 0.682 0.749
Br: 0.317 0.318 0.751
Br: 0.683 0.682 0.249
Br: 0.001 0.318 0.251